# Pr2Dy2Er2Mg

A relaxed Pr2Dy2Er2Mg crystal (GGA-PBE, Alexandria via LeMat-Bulk). Values from VASP.

Cell and atoms, written as Quantum ESPRESSO input:
```
&SYSTEM
  ibrav = 0, nat = 7, ntyp = 4
/
ATOMIC_SPECIES
Pr 140.91 Pr.upf
Dy 162.50 Dy.upf
Er 167.26 Er.upf
Mg 24.30 Mg.upf
ATOMIC_POSITIONS angstrom
Pr -0.9930 0.0000 2.5445
Pr 7.6822 0.0000 7.7074
Dy 2.2969 0.0000 1.3250
Dy 4.3923 0.0000 8.9269
Er -1.0059 0.0000 6.0113
Er 7.6951 0.0000 4.2405
Mg 6.0663 0.0000 0.0000
CELL_PARAMETERS angstrom
6.0663 -1.8201 0.0000
6.0663 1.8201 0.0000
-5.4435 0.0000 10.2518
```

Total DFT energy (no corrections)   -4.12 eV/atom
Magnetic moment   0.0000 μB per atom
Formation enthalpy at 0 K   0.65 eV per formula unit
DOS at the Fermi energy   8.3 states/eV per cell